The following is a PBE calculation of an optimized crystal structure of Ba12AlAg6, from Alexandria.

a b c (Å): 10.1968 10.1968 10.1968
angles (deg): 109.47 109.47 109.47
With the nearest neighbours (Å) after each atom.
Atoms (fractional coordinates):
1 Ba 0.2939 0.1127 0.8188  3 Ag 3.36-3.53
2 Ba 0.4751 0.1812 0.2939  3 Ag 3.36-3.53
3 Ba 0.1812 0.2939 0.4751  3 Ag 3.36-3.53
4 Ba 0.7061 0.8873 0.1812  3 Ag 3.36-3.53
5 Ba 0.1127 0.8188 0.2939  3 Ag 3.36-3.53
6 Ba 0.7061 0.5249 0.8188  3 Ag 3.36-3.53
7 Ba 0.8188 0.2939 0.1127  3 Ag 3.36-3.53
8 Ba 0.8188 0.7061 0.5249  3 Ag 3.36-3.53
9 Ba 0.8873 0.1812 0.7061  3 Ag 3.36-3.53
10 Ba 0.1812 0.7061 0.8873  3 Ag 3.36-3.53
11 Ba 0.2939 0.4751 0.1812  3 Ag 3.36-3.53
12 Ba 0.5249 0.8188 0.7061  3 Ag 3.36-3.53
13 Ag 0.5000 0.1218 0.6218  1 Ag 2.87
14 Ag 0.1218 0.6218 0.5000  1 Ag 2.87
15 Ag 0.3782 0.5000 0.8782  1 Ag 2.87
16 Ag 0.6218 0.5000 0.1218  1 Ag 2.87
17 Ag 0.8782 0.3782 0.5000  1 Ag 2.87
18 Ag 0.5000 0.8782 0.3782  1 Ag 2.87
19 Al 0.0000 0.0000 0.0000  12 Ba 4.07

**Space-group type**: Im-3 (204)
**E**: -46.79 eV for the cell shown
**Calculated formation energy**: -0.151 eV/atom